The following is a DFT calculation (SCAN) of BaTl4 at its PBEsol-relaxed geometry.

Results
Calculated formation energy ... -0.279 eV/atom
DFT total energy ... -66.0753 eV per atom
Density of states at the Fermi level ... 11.2 states/eV per cell
Size of the total moment ... 0.000 μB per formula unit

abc: 9.4538 9.4538 9.4538
angles: 109.47 109.47 109.47
Atoms (fractional coordinates):
Ba: 0.0000 0.0000 0.4349
Ba: 0.0000 0.4349 0.0000
Ba: 0.4349 0.0000 0.0000
Ba: 0.5651 0.5651 0.5651
Tl: 0.0000 0.0000 0.7902
Tl: 0.0000 0.3480 0.3480
Tl: 0.0000 0.6520 0.6520
Tl: 0.0000 0.7902 0.0000
Tl: 0.2098 0.2098 0.2098
Tl: 0.2500 0.5000 0.7500
Tl: 0.2500 0.7500 0.5000
Tl: 0.3480 0.0000 0.3480
Tl: 0.3480 0.3480 0.0000
Tl: 0.5000 0.2500 0.7500
Tl: 0.5000 0.7500 0.2500
Tl: 0.6520 0.0000 0.6520
Tl: 0.6520 0.6520 0.0000
Tl: 0.7500 0.2500 0.5000
Tl: 0.7500 0.5000 0.2500
Tl: 0.7902 0.0000 0.0000